# ScAs2Se, relaxed, DFT PBE
# - formation energy without anion corrections (eV/atom) = -0.22
data_ScAs2Se
_cell_length_a 2.8677
_cell_length_b 2.8677
_cell_length_c 11.1238
_cell_angle_alpha 90.00
_cell_angle_beta 90.00
_cell_angle_gamma 90.00
_symmetry_space_group_name_H-M 'P 4/m m m'
_symmetry_Int_Tables_number 123
_symmetry_space_group_name_Hall '-P 4 2'
loop_
_atom_site_label
_atom_site_fract_x
_atom_site_fract_y
_atom_site_fract_z
Sc1 0.0000 0.0000 0.0000
As1 0.5000 0.5000 0.1856
Se1 0.0000 0.0000 0.5000



TlV2FeRu | PBE | relaxed

CIF file:
```
data_TlV2FeRu
_cell_length_a 4.9941
_cell_length_b 4.9941
_cell_length_c 4.9911
_cell_angle_alpha 90.00
_cell_angle_beta 90.00
_cell_angle_gamma 90.00
_symmetry_space_group_name_H-M 'P 4/m m m'
_symmetry_Int_Tables_number 123
_symmetry_space_group_name_Hall '-P 4 2'
loop_
_atom_site_label
_atom_site_fract_x
_atom_site_fract_y
_atom_site_fract_z
Tl1 0.0000 0.0000 0.0000
V1 0.0000 0.5000 0.0000
Fe1 0.5000 0.5000 0.5000
Ru1 0.0000 0.0000 0.5000
```



CaTbTlCu | PBE | relaxed

CIF file:
```
data_CaTbTlCu
_cell_length_a 7.3868
_cell_length_b 7.3868
_cell_length_c 7.3868
_cell_angle_alpha 90.00
_cell_angle_beta 90.00
_cell_angle_gamma 90.00
_symmetry_space_group_name_H-M 'F -4 3 m'
_symmetry_Int_Tables_number 216
_symmetry_space_group_name_Hall 'F -4 2 3'
loop_
_atom_site_label
_atom_site_fract_x
_atom_site_fract_y
_atom_site_fract_z
Ca1 0.0000 0.0000 0.0000
Tb1 0.0000 0.0000 0.5000
Tl1 0.2500 0.2500 0.2500
Cu1 0.2500 0.2500 0.7500
```



SrAl6Cu4 | PBE | relaxed

CIF file:
```
data_SrAl6Cu4
_cell_length_a 7.1423
_cell_length_b 7.1423
_cell_length_c 4.0778
_cell_angle_alpha 90.00
_cell_angle_beta 90.00
_cell_angle_gamma 120.00
_symmetry_space_group_name_H-M 'P -6 m 2'
_symmetry_Int_Tables_number 187
_symmetry_space_group_name_Hall 'P -6 2'
loop_
_atom_site_label
_atom_site_fract_x
_atom_site_fract_y
_atom_site_fract_z
Sr1 0.0000 0.0000 0.0000
Al1 0.2030 0.4060 0.5000
Al2 0.5341 0.0682 0.0000
Cu1 0.3333 0.6667 0.0000
Cu2 0.4205 0.2102 0.5000
```



no.,E_tot (eV per formula unit),N(E_F) (states/eV/atom)
1,-19.99,0.6310
2,-26.60,2.0268
3,-14.03,0.8370
4,-43.44,0.2031